A geometry-optimized NpCd2NiO6 structure, computed with PBE with a Hubbard U.

**DFT total energy**: -6.45 eV per atom

Cell: 5.5088 5.6795 8.0446 Å, 90.00 90.02 90.00°
Each line ends with the local moment (μB).
Atoms (fractional coordinates):
Cd: 0.4902 0.4524 0.2499  0.00
O: 0.6931 0.3046 0.9443  -0.02
O: 0.8920 0.5495 0.2506  -0.01
Np: 0.0000 0.5000 0.0000  1.35
Cd: 0.5098 0.5476 0.7501  0.00
O: 0.3069 0.6954 0.0557  -0.02
O: 0.1894 0.1967 0.0596  -0.02
O: 0.1080 0.4505 0.7494  -0.01
O: 0.3106 0.6967 0.4404  -0.02
O: 0.8069 0.8046 0.5557  -0.02
O: 0.6894 0.3033 0.5596  -0.02
O: 0.1931 0.1954 0.4443  -0.02
O: 0.3920 0.9505 0.7506  -0.01
Cd: 0.9902 0.0476 0.7499  0.00
O: 0.8106 0.8033 0.9404  -0.02
Ni: 0.5000 0.0000 0.0000  1.75
Cd: 0.0098 0.9524 0.2501  0.00
Np: 0.5000 0.0000 0.5000  1.35
O: 0.6080 0.0495 0.2494  -0.01
Ni: 0.0000 0.5000 0.5000  1.75